Computed, not measured: SrCa2Re after structural relaxation at the PBE level of DFT.

Cell lengths 7.649, 7.649, 7.649 Å; angles 90.00, 90.00, 90.00 degrees
Space group Fm-3m (No. 225)
One atom of each set of equivalent atoms:
Sr 0.000 0.000 0.000 (multiplicity 4)
Ca 0.250 0.250 0.250 (multiplicity 8)
Re 0.000 0.000 0.500 (multiplicity 4)

Values from the calculation:
V	27.97	A^3/atom
excess energy over the best structure of this formula in the dataset	132.2	meV/atom
DOS(E_F)	5.39	states/eV/f.u.
theoretical density	5.3	g cm⁻³
total magnetization	3.667	Bohr magnetons per cell
formation energy	0.81	eV per atom